# 1
The following is a PBE calculation of a geometry-optimized BaPRuAu structure, from Alexandria via LeMat-Bulk.

* formation enthalpy at 0 K: -0.78 eV/atom
* calculated total energy: -5.754 eV/atom
* space-group type: P4/nmm (129)
* Fermi-level density of states: 0.356 states/eV per atom

a = 4.0610 Å, b = 4.0610 Å, c = 11.3953 Å
α = 90.00°, β = 90.00°, γ = 90.00°
Closest atoms and distances in Å follow each position.
Sites, in units of the cell vectors:
Ba  0.2500  0.2500  0.2409  4 P 3.38, 4 Au 3.41, 4 Ru 3.58
Ba  0.7500  0.7500  0.7591  4 P 3.38, 4 Au 3.41, 4 Ru 3.58
P  0.2500  0.2500  0.6021  4 Ru 2.34
P  0.7500  0.7500  0.3979  4 Ru 2.34
Ru  0.2500  0.7500  0.5000  4 P 2.34
Ru  0.7500  0.2500  0.5000  4 P 2.34
Au  0.2500  0.7500  0.0000  4 Au 2.87
Au  0.7500  0.2500  0.0000  4 Au 2.87


# 2
The following is a PBE calculation of a geometry-optimized Ba3P2AuS8 structure, from Alexandria via LeMat-Bulk.

* calculated total energy: -4.795 eV/atom
* space-group type: P-3m1 (164)
* uncorrected formation energy: -1.018 eV per atom
* Fermi-level density of states: 0.190 states/eV per atom

a = 6.8556 Å, b = 6.8556 Å, c = 8.8868 Å
α = 90.00°, β = 90.00°, γ = 120.00°
Closest atoms and distances in Å follow each position.
Sites, in units of the cell vectors:
Ba  0.0000  0.0000  0.0000  6 S 3.36
Ba  0.3333  0.6667  0.6267  10 S 3.13-3.49
Ba  0.6667  0.3333  0.3733  10 S 3.13-3.49
P  0.3333  0.6667  0.2054  4 S 2.02-2.10
P  0.6667  0.3333  0.7946  4 S 2.02-2.10
Au  0.0000  0.0000  0.5000  6 S 2.69
S  0.1713  0.3426  0.3014  1 P 2.10
S  0.1713  0.8287  0.3014  1 P 2.10
S  0.3333  0.6667  0.9784  1 P 2.02
S  0.3426  0.1713  0.6986  1 P 2.10
S  0.6574  0.8287  0.3014  1 P 2.10
S  0.6667  0.3333  0.0216  1 P 2.02
S  0.8287  0.1713  0.6986  1 P 2.10
S  0.8287  0.6574  0.6986  1 P 2.10


# 3
The following is a PBE calculation of a geometry-optimized BaP2Au2S7 structure, from Alexandria via LeMat-Bulk.

* calculated total energy: -4.348 eV/atom
* space-group type: R32 (155)
* uncorrected formation energy: -0.332 eV per atom
* Fermi-level density of states: 0.032 states/eV per atom

a = 10.7688 Å, b = 10.7688 Å, c = 10.7688 Å
α = 34.99°, β = 34.99°, γ = 34.99°
Closest atoms and distances in Å follow each position.
Sites, in units of the cell vectors:
Ba  0.0000  0.0000  0.0000  6 S 3.18
P  0.4294  0.4294  0.4294  4 S 2.05-2.14
P  0.5706  0.5706  0.5706  4 S 2.05-2.14
Au  0.2532  0.2532  0.2532  3 S 2.41
Au  0.7468  0.7468  0.7468  3 S 2.41
S  0.1231  0.3800  0.7321  1 P 2.05
S  0.2679  0.6200  0.8769  1 P 2.05
S  0.3800  0.7321  0.1231  1 P 2.05
S  0.5000  0.5000  0.5000  2 P 2.14
S  0.6200  0.8769  0.2679  1 P 2.05
S  0.7321  0.1231  0.3800  1 P 2.05
S  0.8769  0.2679  0.6200  1 P 2.05


# 4
The following is a PBE calculation of a geometry-optimized BaP2AuS8 structure, from Alexandria via LeMat-Bulk.

* calculated total energy: -4.470 eV/atom
* space-group type: P-3 (147)
* uncorrected formation energy: -0.384 eV per atom
* Fermi-level density of states: 0.475 states/eV per atom

a = 5.9249 Å, b = 5.9249 Å, c = 9.0259 Å
α = 90.00°, β = 90.00°, γ = 120.00°
Closest atoms and distances in Å follow each position.
Sites, in units of the cell vectors:
Ba  0.0000  0.0000  0.0000  12 S 3.44-3.53
P  0.3333  0.6667  0.7402  4 S 2.02-2.08
P  0.6667  0.3333  0.2598  4 S 2.02-2.08
Au  0.0000  0.0000  0.5000  6 S 2.55
S  0.0071  0.6683  0.3233  1 P 2.08
S  0.3317  0.3387  0.3233  1 P 2.08
S  0.3333  0.6667  0.9635  1 P 2.02
S  0.3387  0.0071  0.6767  1 P 2.08
S  0.6613  0.9929  0.3233  1 P 2.08
S  0.6667  0.3333  0.0365  1 P 2.02
S  0.6683  0.6613  0.6767  1 P 2.08
S  0.9929  0.3317  0.6767  1 P 2.08


# 5
The following is a PBE calculation of a geometry-optimized Ba2SbPAu structure, from Alexandria via LeMat-Bulk.

* calculated total energy: -3.852 eV/atom
* space-group type: P4/mmm (123)
* uncorrected formation energy: -0.521 eV per atom
* Fermi-level density of states: 1.304 states/eV per atom

a = 6.4637 Å, b = 6.4637 Å, c = 4.4684 Å
α = 90.00°, β = 90.00°, γ = 90.00°
Closest atoms and distances in Å follow each position.
Sites, in units of the cell vectors:
Ba  0.0000  0.5000  0.0000  2 Au 3.23
Ba  0.5000  0.0000  0.0000  2 Au 3.23
Sb  0.0000  0.0000  0.5000  8 Ba 3.93
P  0.5000  0.5000  0.5000  2 Au 2.23
Au  0.5000  0.5000  0.0000  2 P 2.23


# 6
The following is a PBE calculation of a geometry-optimized Ba4PAuSe2 structure, from Alexandria via LeMat-Bulk.

* calculated total energy: -4.337 eV/atom
* space-group type: P2/m (10)
* uncorrected formation energy: -1.418 eV per atom

a = 8.1738 Å, b = 4.7306 Å, c = 8.2039 Å
α = 90.00°, β = 108.81°, γ = 90.00°
Closest atoms and distances in Å follow each position.
Sites, in units of the cell vectors:
Ba  0.2296  0.0000  0.2431  1 P 3.24, 3 Se 3.27-3.42, 2 Au 3.45
Ba  0.2353  0.5000  0.7452  3 Se 3.27-3.42, 2 P 3.29, 1 Au 3.40
Ba  0.7647  0.5000  0.2548  3 Se 3.27-3.42, 2 P 3.29, 1 Au 3.40
Ba  0.7704  0.0000  0.7569  1 P 3.24, 3 Se 3.27-3.42, 2 Au 3.45
P  0.0000  0.0000  0.5000  6 Ba 3.24-3.29
Au  0.5000  0.5000  0.5000  6 Ba 3.40-3.45
Se  0.0000  0.5000  0.0000  6 Ba 3.27
Se  0.5000  0.0000  0.0000  6 Ba 3.42


# 7
The following is a PBE calculation of a geometry-optimized BaSiP2Au structure, from Alexandria via LeMat-Bulk.

* calculated total energy: -4.755 eV/atom
* space-group type: Cmme (67)
* uncorrected formation energy: -0.466 eV per atom
* Fermi-level density of states: 0.293 states/eV per atom

a = 6.5766 Å, b = 6.5766 Å, c = 7.0061 Å
α = 90.00°, β = 90.00°, γ = 126.77°
Closest atoms and distances in Å follow each position.
Sites, in units of the cell vectors:
Ba  0.2500  0.7500  0.7656  6 P 3.48-3.53, 2 Au 3.48, 4 Si 3.68
Ba  0.7500  0.2500  0.2344  6 P 3.48-3.53, 2 Au 3.48, 4 Si 3.68
Si  0.2500  0.2500  0.0000  4 P 2.30
Si  0.7500  0.7500  0.0000  4 P 2.30
P  0.0946  0.9054  0.1958  2 Si 2.30, 1 Au 2.40
P  0.4054  0.5946  0.1958  2 Si 2.30, 1 Au 2.40
P  0.5946  0.4054  0.8042  2 Si 2.30, 1 Au 2.40
P  0.9054  0.0946  0.8042  2 Si 2.30, 1 Au 2.40
Au  0.0000  0.0000  0.5000  2 P 2.40
Au  0.5000  0.5000  0.5000  2 P 2.40


# 8
The following is a PBE calculation of a geometry-optimized Ba2TePAu structure, from Alexandria via LeMat-Bulk.

* calculated total energy: -4.184 eV/atom
* space-group type: P4/mmm (123)
* uncorrected formation energy: -1.049 eV per atom
* Fermi-level density of states: 0.139 states/eV per atom

a = 6.2548 Å, b = 6.2548 Å, c = 4.6315 Å
α = 90.00°, β = 90.00°, γ = 90.00°
Closest atoms and distances in Å follow each position.
Sites, in units of the cell vectors:
Ba  0.0000  0.5000  0.0000  2 P 3.13
Ba  0.5000  0.0000  0.0000  2 P 3.13
Te  0.0000  0.0000  0.5000  8 Ba 3.89
P  0.5000  0.5000  0.0000  2 Au 2.32
Au  0.5000  0.5000  0.5000  2 P 2.32


# 9
The following is a PBE calculation of a geometry-optimized Ba2TiPAu structure, from Alexandria via LeMat-Bulk.

* formation enthalpy at 0 K: 0.27 eV/atom
* calculated total energy: -3.813 eV/atom
* space-group type: P4/mmm (123)
* Fermi-level density of states: 1.348 states/eV per atom

a = 6.2769 Å, b = 6.2769 Å, c = 4.5887 Å
α = 90.00°, β = 90.00°, γ = 90.00°
Closest atoms and distances in Å follow each position.
Sites, in units of the cell vectors:
Ba  0.0000  0.5000  0.0000  2 P 3.14
Ba  0.5000  0.0000  0.0000  2 P 3.14
Ti  0.0000  0.0000  0.5000  8 Ba 3.89
P  0.5000  0.5000  0.0000  2 Au 2.29
Au  0.5000  0.5000  0.5000  2 P 2.29


# 10
The following is a PBE calculation of a geometry-optimized BaPaAu structure, from Alexandria via LeMat-Bulk.

* formation enthalpy at 0 K: 0.00 eV/atom
* calculated total energy: -4.896 eV/atom
* space-group type: P4/mmm (123)
* Fermi-level density of states: 1.898 states/eV per atom

a = 3.9341 Å, b = 3.9341 Å, c = 12.7796 Å
α = 90.00°, β = 90.00°, γ = 90.00°
Closest atoms and distances in Å follow each position.
Sites, in units of the cell vectors:
Ba  0.0000  0.0000  0.1565  4 Au 3.43
Ba  0.0000  0.0000  0.8435  4 Au 3.43
Pa  0.5000  0.5000  0.3945  1 Pa 2.70
Pa  0.5000  0.5000  0.6055  1 Pa 2.70
Au  0.0000  0.0000  0.5000  8 Pa 3.09
Au  0.5000  0.5000  0.0000  8 Ba 3.43